First-principles (GGA-PBE) data for a relaxed structure of NaSe2BrF, as listed in Alexandria.

Excess energy over the best structure of this formula in the dataset: 0.693 eV/atom
E_tot: -2.001 eV per atom
Size of the total moment: 5.017 μB per formula unit
ΔE_f (raw): 0.37 eV/atom

Structure (CIF):
```
data_NaSe2BrF
_cell_length_a 5.7400
_cell_length_b 5.7400
_cell_length_c 5.2609
_cell_angle_alpha 90.00
_cell_angle_beta 90.00
_cell_angle_gamma 90.00
_symmetry_space_group_name_H-M 'P 4/m m m'
_symmetry_Int_Tables_number 123
_symmetry_space_group_name_Hall '-P 4 2'
loop_
_atom_site_label
_atom_site_fract_x
_atom_site_fract_y
_atom_site_fract_z
Na1 0.0000 0.0000 0.0000
Se1 0.0000 0.5000 0.0000
Br1 0.0000 0.0000 0.5000
F1 0.5000 0.5000 0.5000
```

=====

First-principles (GGA-PBE) data for a relaxed structure of YPPdCl2, as listed in Alexandria.

Excess energy over the best structure of this formula in the dataset: 0.000 eV/atom
E_tot: -4.651 eV per atom
Size of the total moment: 0.000 μB per formula unit
ΔE_f (raw): -0.50 eV/atom

Structure (CIF):
```
data_YPPdCl2
_cell_length_a 4.6852
_cell_length_b 4.6852
_cell_length_c 5.0522
_cell_angle_alpha 90.00
_cell_angle_beta 90.00
_cell_angle_gamma 90.00
_symmetry_space_group_name_H-M 'P 4/m m m'
_symmetry_Int_Tables_number 123
_symmetry_space_group_name_Hall '-P 4 2'
loop_
_atom_site_label
_atom_site_fract_x
_atom_site_fract_y
_atom_site_fract_z
Y1 0.0000 0.0000 0.0000
P1 0.5000 0.5000 0.0000
Pd1 0.5000 0.5000 0.5000
Cl1 0.0000 0.5000 0.5000
```

=====

First-principles (GGA-PBE) data for a relaxed structure of MnIn3Pt, as listed in Alexandria.

Excess energy over the best structure of this formula in the dataset: 0.312 eV/atom
E_tot: -4.089 eV per atom
Size of the total moment: 2.813 μB per formula unit

Structure (CIF):
```
data_MnIn3Pt
_cell_length_a 4.9807
_cell_length_b 4.9807
_cell_length_c 4.9807
_cell_angle_alpha 90.00
_cell_angle_beta 90.00
_cell_angle_gamma 90.00
_symmetry_space_group_name_H-M 'P m -3 m'
_symmetry_Int_Tables_number 221
_symmetry_space_group_name_Hall '-P 4 2 3'
loop_
_atom_site_label
_atom_site_fract_x
_atom_site_fract_y
_atom_site_fract_z
Mn1 0.0000 0.0000 0.0000
In1 0.0000 0.0000 0.5000
Pt1 0.5000 0.5000 0.5000
```

=====

First-principles (GGA-PBE) data for a relaxed structure of TbMgAlAg, as listed in Alexandria.

E_tot: -3.508 eV per atom
Size of the total moment: 0.000 μB per formula unit

Structure (CIF):
```
data_TbMgAlAg
_cell_length_a 6.9898
_cell_length_b 6.9898
_cell_length_c 6.9898
_cell_angle_alpha 90.00
_cell_angle_beta 90.00
_cell_angle_gamma 90.00
_symmetry_space_group_name_H-M 'F -4 3 m'
_symmetry_Int_Tables_number 216
_symmetry_space_group_name_Hall 'F -4 2 3'
loop_
_atom_site_label
_atom_site_fract_x
_atom_site_fract_y
_atom_site_fract_z
Tb1 0.0000 0.0000 0.0000
Mg1 0.0000 0.0000 0.5000
Al1 0.2500 0.2500 0.7500
Ag1 0.2500 0.2500 0.2500
```

=====

First-principles (GGA-PBE) data for a relaxed structure of La2Ta2W, as listed in Alexandria.

Excess energy over the best structure of this formula in the dataset: 0.742 eV/atom
E_tot: -8.007 eV per atom
Size of the total moment: 0.000 μB per formula unit

Structure (CIF):
```
data_La2Ta2W
_cell_length_a 3.9013
_cell_length_b 3.9013
_cell_length_c 15.6096
_cell_angle_alpha 90.00
_cell_angle_beta 90.00
_cell_angle_gamma 90.00
_symmetry_space_group_name_H-M 'I 4/m m m'
_symmetry_Int_Tables_number 139
_symmetry_space_group_name_Hall '-I 4 2'
loop_
_atom_site_label
_atom_site_fract_x
_atom_site_fract_y
_atom_site_fract_z
La1 0.0000 0.5000 0.2500
Ta1 0.0000 0.0000 0.0768
W1 0.0000 0.0000 0.5000
```

=====

First-principles (GGA-PBE) data for a relaxed structure of CaHfPdSe2, as listed in Alexandria.

E_tot: -4.501 eV per atom
Size of the total moment: 0.000 μB per formula unit
ΔE_f (raw): 0.32 eV/atom

Structure (CIF):
```
data_CaHfPdSe2
_cell_length_a 5.1875
_cell_length_b 5.1875
_cell_length_c 4.7742
_cell_angle_alpha 90.00
_cell_angle_beta 90.00
_cell_angle_gamma 90.00
_symmetry_space_group_name_H-M 'P 4/m m m'
_symmetry_Int_Tables_number 123
_symmetry_space_group_name_Hall '-P 4 2'
loop_
_atom_site_label
_atom_site_fract_x
_atom_site_fract_y
_atom_site_fract_z
Ca1 0.0000 0.0000 0.0000
Hf1 0.5000 0.5000 0.5000
Pd1 0.0000 0.0000 0.5000
Se1 0.0000 0.5000 0.0000
```

=====

First-principles (GGA-PBE) data for a relaxed structure of Be5Co4Cu, as listed in Alexandria.

E_tot: -5.402 eV per atom
Size of the total moment: 1.139 μB per formula unit

Structure (CIF):
```
data_Be5Co4Cu
_cell_length_a 2.6254
_cell_length_b 2.6254
_cell_length_c 12.9581
_cell_angle_alpha 90.00
_cell_angle_beta 90.00
_cell_angle_gamma 90.00
_symmetry_space_group_name_H-M 'P 4/m m m'
_symmetry_Int_Tables_number 123
_symmetry_space_group_name_Hall '-P 4 2'
loop_
_atom_site_label
_atom_site_fract_x
_atom_site_fract_y
_atom_site_fract_z
Be1 0.0000 0.0000 0.0000
Be2 0.0000 0.0000 0.1991
Be3 0.0000 0.0000 0.3867
Co1 0.5000 0.5000 0.0984
Co2 0.5000 0.5000 0.2970
Cu1 0.5000 0.5000 0.5000
```

=====

First-principles (GGA-PBE) data for a relaxed structure of AcIn5Ni, as listed in Alexandria.

E_tot: -3.634 eV per atom
Size of the total moment: 0.000 μB per formula unit

Structure (CIF):
```
data_AcIn5Ni
_cell_length_a 4.7718
_cell_length_b 4.7718
_cell_length_c 7.8853
_cell_angle_alpha 90.00
_cell_angle_beta 90.00
_cell_angle_gamma 90.00
_symmetry_space_group_name_H-M 'P 4/m m m'
_symmetry_Int_Tables_number 123
_symmetry_space_group_name_Hall '-P 4 2'
loop_
_atom_site_label
_atom_site_fract_x
_atom_site_fract_y
_atom_site_fract_z
Ac1 0.0000 0.0000 0.0000
In1 0.0000 0.5000 0.3149
In2 0.5000 0.5000 0.0000
Ni1 0.0000 0.0000 0.5000
```

=====

First-principles (GGA-PBE) data for a relaxed structure of CeMgIn4, as listed in Alexandria.

E_tot: -3.153 eV per atom
Size of the total moment: 1.716 μB per formula unit

Structure (CIF):
```
data_CeMgIn4
_cell_length_a 8.6336
_cell_length_b 8.6336
_cell_length_c 8.6336
_cell_angle_alpha 90.00
_cell_angle_beta 90.00
_cell_angle_gamma 90.00
_symmetry_space_group_name_H-M 'F -4 3 m'
_symmetry_Int_Tables_number 216
_symmetry_space_group_name_Hall 'F -4 2 3'
loop_
_atom_site_label
_atom_site_fract_x
_atom_site_fract_y
_atom_site_fract_z
Ce1 0.0000 0.0000 0.0000
Mg1 0.2500 0.2500 0.2500
In1 0.1251 0.1251 0.6251
```

=====

First-principles (GGA-PBE) data for a relaxed structure of AcScGa2O6, as listed in Alexandria.

E_tot: -7.245 eV per atom
Size of the total moment: 0.000 μB per formula unit
ΔE_f (raw): -2.62 eV/atom

Structure (CIF):
```
data_AcScGa2O6
_cell_length_a 5.2952
_cell_length_b 5.2952
_cell_length_c 17.7715
_cell_angle_alpha 90.00
_cell_angle_beta 90.00
_cell_angle_gamma 120.00
_symmetry_space_group_name_H-M 'R -3'
_symmetry_Int_Tables_number 148
_symmetry_space_group_name_Hall '-R 3'
loop_
_atom_site_label
_atom_site_fract_x
_atom_site_fract_y
_atom_site_fract_z
Ac1 0.0000 0.0000 0.0000
Sc1 0.0000 0.0000 0.5000
Ga1 0.0000 0.0000 0.1827
O1 0.0083 0.6840 0.8947
```

=====

First-principles (GGA-PBE) data for a relaxed structure of KNdCu2Cl8, as listed in Alexandria.

E_tot: -3.668 eV per atom
Size of the total moment: 2.081 μB per formula unit
ΔE_f (raw): -1.27 eV/atom

Structure (CIF):
```
data_KNdCu2Cl8
_cell_length_a 6.5696
_cell_length_b 6.5696
_cell_length_c 14.4152
_cell_angle_alpha 90.00
_cell_angle_beta 90.00
_cell_angle_gamma 90.00
_symmetry_space_group_name_H-M 'I -4'
_symmetry_Int_Tables_number 82
_symmetry_space_group_name_Hall 'I -4'
loop_
_atom_site_label
_atom_site_fract_x
_atom_site_fract_y
_atom_site_fract_z
K1 0.0000 0.0000 0.0000
Nd1 0.0000 0.5000 0.2500
Cu1 0.0000 0.0000 0.5000
Cu2 0.0000 0.5000 0.7500
Cl1 0.1285 0.2680 0.4172
Cl2 0.1628 0.7727 0.8127
```

=====

First-principles (GGA-PBE) data for a relaxed structure of Y2InSn4, as listed in Alexandria.

Excess energy over the best structure of this formula in the dataset: 0.018 eV/atom
E_tot: -4.923 eV per atom
Size of the total moment: 0.000 μB per formula unit

Structure (CIF):
```
data_Y2InSn4
_cell_length_a 4.4189
_cell_length_b 4.4189
_cell_length_c 9.9731
_cell_angle_alpha 90.00
_cell_angle_beta 90.00
_cell_angle_gamma 90.00
_symmetry_space_group_name_H-M 'P -4 m 2'
_symmetry_Int_Tables_number 115
_symmetry_space_group_name_Hall 'P -4 -2'
loop_
_atom_site_label
_atom_site_fract_x
_atom_site_fract_y
_atom_site_fract_z
Y1 0.0000 0.5000 0.2479
In1 0.0000 0.0000 0.5000
Sn1 0.0000 0.0000 0.0000
Sn2 0.0000 0.5000 0.6973
Sn3 0.5000 0.5000 0.0000
```

=====

First-principles (GGA-PBE) data for a relaxed structure of Rb2HfBiSe4, as listed in Alexandria.

E_tot: -4.626 eV per atom
Size of the total moment: 1.055 μB per formula unit
ΔE_f (raw): -0.91 eV/atom

Structure (CIF):
```
data_Rb2HfBiSe4
_cell_length_a 7.4111
_cell_length_b 14.4052
_cell_length_c 23.7702
_cell_angle_alpha 90.00
_cell_angle_beta 90.00
_cell_angle_gamma 90.00
_symmetry_space_group_name_H-M 'F d d d'
_symmetry_Int_Tables_number 70
loop_
_symmetry_equiv_pos_as_xyz
'x,y,z'
'-x,-y,-z'
'-x+1/4,-y+1/4,z'
'x+1/4,y+1/4,-z'
'x,-y+1/4,-z+1/4'
'-x,y+1/4,z+1/4'
'-x+1/4,y,-z+1/4'
'x+1/4,-y,z+1/4'
'x,y+1/2,z+1/2'
'-x,-y+1/2,-z+1/2'
'-x+1/4,-y+3/4,z+1/2'
'x+1/4,y+3/4,-z+1/2'
'x,-y+3/4,-z+3/4'
'-x,y+3/4,z+3/4'
'-x+1/4,y+1/2,-z+3/4'
'x+1/4,-y+1/2,z+3/4'
'x+1/2,y,z+1/2'
'-x+1/2,-y,-z+1/2'
'-x+3/4,-y+1/4,z+1/2'
'x+3/4,y+1/4,-z+1/2'
'x+1/2,-y+1/4,-z+3/4'
'-x+1/2,y+1/4,z+3/4'
'-x+3/4,y,-z+3/4'
'x+3/4,-y,z+3/4'
'x+1/2,y+1/2,z'
'-x+1/2,-y+1/2,-z'
'-x+3/4,-y+3/4,z'
'x+3/4,y+3/4,-z'
'x+1/2,-y+3/4,-z+1/4'
'-x+1/2,y+3/4,z+1/4'
'-x+3/4,y+1/2,-z+1/4'
'x+3/4,-y+1/2,z+1/4'
loop_
_atom_site_label
_atom_site_fract_x
_atom_site_fract_y
_atom_site_fract_z
Rb1 0.1250 0.1250 0.3110
Hf1 0.1250 0.1250 0.1250
Bi1 0.1250 0.1250 0.6250
Se1 0.0768 0.2778 0.4365
```

=====

First-principles (GGA-PBE) data for a relaxed structure of VRhSCl2, as listed in Alexandria.

Excess energy over the best structure of this formula in the dataset: 0.000 eV/atom
E_tot: -4.634 eV per atom
Size of the total moment: 0.093 μB per formula unit
ΔE_f (raw): 0.22 eV/atom

Structure (CIF):
```
data_VRhSCl2
_cell_length_a 4.5768
_cell_length_b 4.5768
_cell_length_c 4.6493
_cell_angle_alpha 90.00
_cell_angle_beta 90.00
_cell_angle_gamma 90.00
_symmetry_space_group_name_H-M 'P 4/m m m'
_symmetry_Int_Tables_number 123
_symmetry_space_group_name_Hall '-P 4 2'
loop_
_atom_site_label
_atom_site_fract_x
_atom_site_fract_y
_atom_site_fract_z
V1 0.0000 0.0000 0.0000
Rh1 0.5000 0.5000 0.5000
S1 0.0000 0.0000 0.5000
Cl1 0.0000 0.5000 0.0000
```

=====

First-principles (GGA-PBE) data for a relaxed structure of BaZn2Ga, as listed in Alexandria.

E_tot: -2.027 eV per atom
Size of the total moment: 0.000 μB per formula unit

Structure (CIF):
```
data_BaZn2Ga
_cell_length_a 5.0845
_cell_length_b 8.6354
_cell_length_c 5.2948
_cell_angle_alpha 90.00
_cell_angle_beta 90.00
_cell_angle_gamma 90.00
_symmetry_space_group_name_H-M 'C m m m'
_symmetry_Int_Tables_number 65
_symmetry_space_group_name_Hall '-C 2 2'
loop_
_atom_site_label
_atom_site_fract_x
_atom_site_fract_y
_atom_site_fract_z
Ba1 0.0000 0.0000 0.0000
Zn1 0.2500 0.2500 0.5000
Ga1 0.0000 0.5000 0.5000
```

=====

First-principles (GGA-PBE) data for a relaxed structure of Ce2NdMn, as listed in Alexandria.

E_tot: -6.251 eV per atom
Size of the total moment: 0.770 μB per formula unit

Structure (CIF):
```
data_Ce2NdMn
_cell_length_a 3.4685
_cell_length_b 3.4685
_cell_length_c 8.6544
_cell_angle_alpha 90.00
_cell_angle_beta 90.00
_cell_angle_gamma 90.00
_symmetry_space_group_name_H-M 'P 4/m m m'
_symmetry_Int_Tables_number 123
_symmetry_space_group_name_Hall '-P 4 2'
loop_
_atom_site_label
_atom_site_fract_x
_atom_site_fract_y
_atom_site_fract_z
Ce1 0.0000 0.0000 0.1898
Nd1 0.5000 0.5000 0.5000
Mn1 0.5000 0.5000 0.0000
```

=====

First-principles (GGA-PBE) data for a relaxed structure of SmBi2Sb, as listed in Alexandria.

Excess energy over the best structure of this formula in the dataset: 0.000 eV/atom
E_tot: -4.578 eV per atom
Size of the total moment: 0.000 μB per formula unit
ΔE_f (raw): -0.43 eV/atom

Structure (CIF):
```
data_SmBi2Sb
_cell_length_a 4.7758
_cell_length_b 4.7758
_cell_length_c 5.2462
_cell_angle_alpha 90.00
_cell_angle_beta 90.00
_cell_angle_gamma 90.00
_symmetry_space_group_name_H-M 'P 4/m m m'
_symmetry_Int_Tables_number 123
_symmetry_space_group_name_Hall '-P 4 2'
loop_
_atom_site_label
_atom_site_fract_x
_atom_site_fract_y
_atom_site_fract_z
Sm1 0.0000 0.0000 0.0000
Bi1 0.0000 0.5000 0.5000
Sb1 0.5000 0.5000 0.0000
```

=====

First-principles (GGA-PBE) data for a relaxed structure of CsZr2S4, as listed in Alexandria.

E_tot: -6.348 eV per atom
Size of the total moment: 0.000 μB per formula unit
ΔE_f (raw): -1.42 eV/atom

Structure (CIF):
```
data_CsZr2S4
_cell_length_a 3.8690
_cell_length_b 13.0107
_cell_length_c 13.4138
_cell_angle_alpha 90.00
_cell_angle_beta 90.00
_cell_angle_gamma 90.00
_symmetry_space_group_name_H-M 'C m c m'
_symmetry_Int_Tables_number 63
_symmetry_space_group_name_Hall '-C 2c 2'
loop_
_atom_site_label
_atom_site_fract_x
_atom_site_fract_y
_atom_site_fract_z
Cs1 0.0000 0.1092 0.2500
Zr1 0.0000 0.3710 0.0636
S1 0.0000 0.0000 0.0000
S2 0.0000 0.2600 0.5979
S3 0.0000 0.4019 0.2500
```

=====

First-principles (GGA-PBE) data for a relaxed structure of NaAlCl2, as listed in Alexandria.

Excess energy over the best structure of this formula in the dataset: 0.183 eV/atom
E_tot: -2.967 eV per atom
Size of the total moment: 0.000 μB per formula unit
ΔE_f (raw): -0.78 eV/atom

Structure (CIF):
```
data_NaAlCl2
_cell_length_a 4.6191
_cell_length_b 4.6191
_cell_length_c 24.3934
_cell_angle_alpha 90.00
_cell_angle_beta 90.00
_cell_angle_gamma 120.00
_symmetry_space_group_name_H-M 'R -3 m'
_symmetry_Int_Tables_number 166
_symmetry_space_group_name_Hall '-R 3 2"'
loop_
_atom_site_label
_atom_site_fract_x
_atom_site_fract_y
_atom_site_fract_z
Na1 0.0000 0.0000 0.0000
Al1 0.0000 0.0000 0.5000
Cl1 0.0000 0.0000 0.1024
```

=====

First-principles (GGA-PBE) data for a relaxed structure of LiV, as listed in Alexandria.

Excess energy over the best structure of this formula in the dataset: 0.085 eV/atom
E_tot: -5.067 eV per atom
Size of the total moment: 0.000 μB per formula unit

Structure (CIF):
```
data_LiV
_cell_length_a 5.4165
_cell_length_b 5.4165
_cell_length_c 8.1120
_cell_angle_alpha 90.00
_cell_angle_beta 90.00
_cell_angle_gamma 90.00
_symmetry_space_group_name_H-M 'P 41 21 2'
_symmetry_Int_Tables_number 92
_symmetry_space_group_name_Hall 'P 4abw 2nw'
loop_
_atom_site_label
_atom_site_fract_x
_atom_site_fract_y
_atom_site_fract_z
Li1 0.0155 0.1967 0.3664
V1 0.1051 0.3067 0.9253
```

=====

First-principles (GGA-PBE) data for a relaxed structure of BaTl2Ag, as listed in Alexandria.

Excess energy over the best structure of this formula in the dataset: 0.000 eV/atom
E_tot: -2.635 eV per atom
Size of the total moment: 0.000 μB per formula unit

Structure (CIF):
```
data_BaTl2Ag
_cell_length_a 7.4891
_cell_length_b 5.3538
_cell_length_c 12.2408
_cell_angle_alpha 90.00
_cell_angle_beta 90.00
_cell_angle_gamma 90.00
_symmetry_space_group_name_H-M 'P n m a'
_symmetry_Int_Tables_number 62
_symmetry_space_group_name_Hall '-P 2ac 2n'
loop_
_atom_site_label
_atom_site_fract_x
_atom_site_fract_y
_atom_site_fract_z
Ba1 0.2482 0.2500 0.1505
Tl1 0.0754 0.2500 0.8422
Tl2 0.2362 0.7500 0.9546
Ag1 0.0403 0.7500 0.3914
```